Si2AuCl: relaxed, PBE.

Cell lengths 5.5985, 3.3023, 9.4340 Å; angles 90.00, 95.32, 90.00 degrees
Space group P2/m (No. 10)
Inequivalent atoms, fractional coordinates:
Si  0.1611  0.0000  0.1832
Si  0.1732  0.0000  0.4367
Au  0.0000  0.5000  0.0000
Au  0.5000  0.5000  0.5000
Cl  0.4629  0.0000  0.8229

Results
The value obtained for the formation energy without anion corrections is -0.21 eV/atom. The value obtained for the energy above the most stable polymorph in this dataset is 0.083 eV per atom. The crystal system is monoclinic. The total moment is 0.0 μB/cell. As for the electronic total energy: -4.205 eV/atom.

---

Si2AuCl: relaxed, PBE.

Cell lengths 3.2026, 3.2026, 7.2929 Å; angles 90.00, 90.00, 90.00 degrees
Space group P4/mmm (No. 123)
Inequivalent atoms, fractional coordinates:
Si  0.0000  0.0000  0.2212
Au  0.5000  0.5000  0.0000
Cl  0.5000  0.5000  0.5000

Results
The value obtained for the formation energy without anion corrections is 0.36 eV/atom. The value obtained for the energy above the most stable polymorph in this dataset is 0.653 eV per atom. The crystal system is tetragonal. The total moment is 0.0 μB/cell. As for the electronic total energy: -3.635 eV/atom.

---

Si2AuCl: relaxed, PBE.

Cell lengths 3.1698, 5.4465, 8.5333 Å; angles 90.00, 90.00, 90.00 degrees
Space group Cmmm (No. 65)
Inequivalent atoms, fractional coordinates:
Si  0.0000  0.0000  0.2466
Au  0.0000  0.5000  0.0000
Cl  0.0000  0.5000  0.5000

Results
The value obtained for the formation energy without anion corrections is 0.36 eV/atom. The value obtained for the energy above the most stable polymorph in this dataset is 0.653 eV per atom. The crystal system is orthorhombic. The total moment is 0.0 μB/cell. As for the electronic total energy: -3.635 eV/atom.

---

Si3AuCl: relaxed, PBE.

Cell lengths 4.9528, 4.9528, 4.9528 Å; angles 90.00, 90.00, 90.00 degrees
Space group Pm-3m (No. 221)
Inequivalent atoms, fractional coordinates:
Si  0.0000  0.0000  0.5000
Au  0.0000  0.0000  0.0000
Cl  0.5000  0.5000  0.5000

Results
The value obtained for the formation energy without anion corrections is 0.89 eV/atom. The value obtained for the energy above the most stable polymorph in this dataset is 0.000 eV per atom. The crystal system is cubic. The total moment is 0.0 μB/cell. As for the electronic total energy: -3.392 eV/atom.

---

Si2AuCl: relaxed, PBE.

Cell lengths 6.1259, 6.0454, 11.4212 Å; angles 90.00, 92.16, 90.00 degrees
Space group C2 (No. 5)
Inequivalent atoms, fractional coordinates:
Si  0.0093  0.0000  0.3988
Si  0.2425  0.2323  0.6998
Au  0.1076  0.6073  0.6371
Cl  0.2346  0.2191  0.8806

Results
The value obtained for the formation energy without anion corrections is -0.27 eV/atom. The value obtained for the energy above the most stable polymorph in this dataset is 0.029 eV per atom. The crystal system is monoclinic. The total moment is 0.0 μB/cell. As for the electronic total energy: -4.259 eV/atom.

---

SiAuCl: relaxed, PBE.

Cell lengths 3.7715, 5.7836, 11.4895 Å; angles 90.00, 90.00, 90.00 degrees
Space group Fmm2 (No. 42)
Inequivalent atoms, fractional coordinates:
Si  0.0000  0.0000  0.0000
Au  0.0000  0.0000  0.3633
Cl  0.0000  0.0000  0.6905

Results
The value obtained for the formation energy without anion corrections is 0.17 eV/atom. The value obtained for the energy above the most stable polymorph in this dataset is 0.555 eV per atom. The crystal system is orthorhombic. The total moment is 0.0 μB/cell. As for the electronic total energy: -3.345 eV/atom.

---

Si4AuCl: relaxed, PBE.

Cell lengths 7.4670, 7.4670, 7.4670 Å; angles 90.00, 90.00, 90.00 degrees
Space group F-43m (No. 216)
Inequivalent atoms, fractional coordinates:
Si  0.1239  0.1239  0.1239
Au  0.0000  0.0000  0.5000
Cl  0.2500  0.2500  0.7500

Results
The value obtained for the formation energy without anion corrections is 0.55 eV/atom. The crystal system is cubic. The total moment is 0.0 μB/cell. As for the electronic total energy: -3.918 eV/atom.

---

SiAuCl: relaxed, PBE.

Cell lengths 6.4272, 6.4272, 6.4272 Å; angles 90.00, 90.00, 90.00 degrees
Space group F-43m (No. 216)
Inequivalent atoms, fractional coordinates:
Si  0.0000  0.0000  0.0000
Au  0.2500  0.2500  0.7500
Cl  0.2500  0.2500  0.2500

Results
The value obtained for the formation energy without anion corrections is 0.27 eV/atom. The value obtained for the energy above the most stable polymorph in this dataset is 0.658 eV per atom. The crystal system is cubic. The total moment is 0.0 μB/cell. As for the electronic total energy: -3.242 eV/atom.